The following is a DFT calculation (meta-GGA SCAN) of Ni5Ru at its PBEsol-relaxed geometry.

Results
DFT total energy: -19.173 eV/atom
energy relative to the elements: 110 meV per atom
crystal system: orthorhombic
DOS(E_F): 1.140 states/eV/atom

Cell: 4.058 2.495 12.971 Å, 90.00 90.00 90.00°
Space group Amm2 (No. 38)
Asymmetric unit:
Ni 0.000 0.000 0.000 (multiplicity 2)
Ni 0.000 0.000 0.327 (multiplicity 2)
Ni 0.000 0.000 0.664 (multiplicity 2)
Ni 0.500 0.000 0.218 (multiplicity 2)
Ni 0.500 0.000 0.556 (multiplicity 2)
Ru 0.500 0.000 0.888 (multiplicity 2)